Entry 1:
The following is a GGA-PBE calculation of a relaxed structure of AcGaCoN, from Alexandria via LeMat-Bulk.

The uncorrected formation energy comes out at -703 meV/atom. The calculation puts the raw total energy at -6.3443 eV/atom.

The structure belongs to space group P4/nmm (No. 129, origin choice 2); the cell edges are 4.035, 4.035 and 8.638 Å and the angles 90.00°, 90.00° and 90.00°. The inequivalent atoms are Ac at (0.250, 0.250, 0.162), Ga at (0.250, 0.750, 0.500), Co at (0.250, 0.250, 0.660) and N at (0.250, 0.250, 0.866).



Entry 2:
The following is a GGA-PBE calculation of a relaxed structure of Na2Mg3AlSn4, from Alexandria via LeMat-Bulk.

The formation energy is -0.12 eV per atom. The calculation puts the raw total energy at -2.8381 eV/atom.

The structure belongs to space group P-4m2 (No. 115); the cell edges are 4.635, 4.635 and 12.658 Å and the angles 90.00°, 90.00° and 90.00°. The inequivalent atoms are Na at (0.000, 0.500, 0.242), Mg at (0.000, 0.000, 0.000), Mg at (0.000, 0.500, 0.644), Al at (0.500, 0.500, 0.000), Sn at (0.000, 0.000, 0.500), Sn at (0.000, 0.500, 0.866) and Sn at (0.500, 0.500, 0.500).



Entry 3:
The following is a GGA-PBE calculation of a relaxed structure of BaAg2GePd, from Alexandria via LeMat-Bulk.

The formation energy is -0.25 eV per atom. The calculation puts the raw total energy at -3.7329 eV/atom.

The structure belongs to space group P4/mmm (No. 123); the cell edges are 5.024, 5.024 and 4.982 Å and the angles 90.00°, 90.00° and 90.00°. The inequivalent atoms are Ba at (0.000, 0.000, 0.000), Ag at (0.000, 0.500, 0.500), Ge at (0.500, 0.500, 0.500) and Pd at (0.500, 0.500, 0.000).



Entry 4:
The following is a GGA-PBE calculation of a relaxed structure of Tb12Tl6Pt, from Alexandria via LeMat-Bulk.

The formation energy is -0.24 eV per atom. The calculation puts the raw total energy at -4.2280 eV/atom.

The structure belongs to space group R-3 (No. 148, hexagonal axes); the cell edges are 12.1647, 12.1647 and 13.6054 Å and the angles 90.00°, 90.00° and 120.00°. The inequivalent atoms are Tb at (0.0288, 0.8404, 0.3694), Tb at (0.0365, 0.1905, 0.8941), Tl at (0.0059, 0.3973, 0.7645) and Pt at (0.0000, 0.0000, 0.5000).



Entry 5:
The following is a GGA-PBE calculation of a relaxed structure of CsSmTiO4, from Alexandria via LeMat-Bulk.

The uncorrected formation energy comes out at -2904 meV/atom. The calculation puts the raw total energy at -7.6607 eV/atom.

The structure belongs to space group P2_1/m (No. 11); the cell edges are 6.064, 6.163 and 8.141 Å and the angles 90.00°, 108.42° and 90.00°. The inequivalent atoms are Cs at (0.197, 0.250, 0.431), Sm at (0.307, 0.250, 0.958), Ti at (0.233, 0.750, 0.148), O at (0.020, 0.750, 0.939), O at (0.039, 0.750, 0.282) and O at (0.443, 0.525, 0.159).



Entry 6:
The following is a GGA-PBE calculation of a relaxed structure of LuPu3C, from Alexandria via LeMat-Bulk.

The formation energy is 0.20 eV per atom. The calculation puts the raw total energy at -11.1496 eV/atom.

The structure belongs to space group Pm-3m (No. 221); the cell edges are 4.915, 4.915 and 4.915 Å and the angles 90.00°, 90.00° and 90.00°. The inequivalent atoms are Lu at (0.000, 0.000, 0.000), Pu at (0.000, 0.500, 0.500) and C at (0.500, 0.500, 0.500).



Among the records above, which one has the lowest raw total energy?
LuPu3C